Record 1
The following is a DFT calculation (GGA-PBE) of a relaxed ZrInGe2O8 crystal.

Cell lengths 5.809, 5.809, 5.809 Å; angles 107.66, 107.66, 113.16 degrees
Last column: magnetic moment on the atom in μB.
Positions (direct):
O (0.491, 0.683, 0.808)  0.11
In (0.000, 0.000, 0.000)  -0.01
O (0.737, 0.054, 0.683)  0.12
O (0.317, 0.125, 0.808)  0.11
O (0.946, 0.629, 0.683)  0.12
O (0.875, 0.683, 0.192)  0.11
O (0.371, 0.054, 0.317)  0.12
O (0.946, 0.263, 0.317)  0.12
Zr (0.250, 0.750, 0.500)  -0.02
Ge (0.500, 0.500, 0.000)  -0.01
O (0.317, 0.509, 0.192)  0.11
Ge (0.750, 0.250, 0.500)  -0.01

Output
V: 150.4 Å³ per cell
E: -6.8623 eV/atom
Magnetic moment: 1.1 μB/cell
Mass density: 5.3 g/cm³
Symmetry: I-4m2 (119)

---

Record 2
The following is a DFT calculation (GGA-PBE) of a relaxed ZrIn2GeO crystal.

Cell lengths 5.783, 5.783, 5.102 Å; angles 90.00, 90.00, 90.00 degrees
Last column: magnetic moment on the atom in μB.
Positions (direct):
In (0.000, 0.500, 0.000)  0.00
Zr (0.000, 0.000, 0.000)  0.15
In (0.500, 0.000, 0.000)  0.00
O (0.500, 0.500, 0.500)  1.09
Ge (0.000, 0.000, 0.500)  0.08

Output
V: 170.7 Å³ per cell
E: -3.8276 eV/atom
Magnetic moment: 1.7 μB/cell
Mass density: 4.0 g/cm³
Symmetry: P4/mmm (123)

---

Record 3
The following is a DFT calculation (GGA-PBE) of a relaxed In3GeOs crystal.

Cell lengths 5.167, 5.167, 5.167 Å; angles 90.00, 90.00, 90.00 degrees
Last column: magnetic moment on the atom in μB.
Positions (direct):
In (0.000, 0.500, 0.000)  -0.05
Os (0.500, 0.500, 0.500)  2.11
In (0.000, 0.000, 0.500)  -0.01
In (0.500, 0.000, 0.000)  -0.05
Ge (0.000, 0.000, 0.000)  -0.02

Output
V: 137.9 Å³ per cell
Calculated formation energy: 1.41 eV per atom
Energy above the lowest structure with this stoichiometry: 842.6 meV per atom
E: -3.4060 eV/atom
Magnetic moment: 2.0 μB/cell
Mass density: 7.3 g/cm³
Symmetry: Pm-3m (221)

---

Record 4
The following is a DFT calculation (GGA-PBE) of a relaxed InGeOs2 crystal.

Cell lengths 4.151, 4.151, 9.383 Å; angles 77.22, 77.22, 90.00 degrees
Positions (direct):
Ge (0.250, 0.750, 0.500)
In (0.750, 0.250, 0.500)
Os (0.214, 0.625, 0.250)
In (0.000, 0.000, 0.000)
Ge (0.500, 0.500, 0.000)
Os (0.536, 0.125, 0.250)
Os (0.875, 0.786, 0.750)
Os (0.375, 0.464, 0.750)

Output
V: 153.5 Å³ per cell
Calculated formation energy: 0.76 eV per atom
Energy above the lowest structure with this stoichiometry: 285.9 meV per atom
E: -6.6934 eV/atom
Magnetic moment: 0.0 μB/cell
Mass density: 12.3 g/cm³
Symmetry: I-42d (122)

---

Record 5
The following is a DFT calculation (GGA-PBE) of a relaxed InGe2Os2 crystal.

Cell lengths 7.384, 7.384, 3.012 Å; angles 90.00, 90.00, 90.00 degrees
Positions (direct):
Os (0.851, 0.649, 0.000)
Ge (0.645, 0.855, 0.500)
Os (0.351, 0.851, 0.000)
Ge (0.145, 0.645, 0.500)
In (0.500, 0.500, 0.000)
Os (0.649, 0.149, 0.000)
Os (0.149, 0.351, 0.000)
Ge (0.355, 0.145, 0.500)
Ge (0.855, 0.355, 0.500)
In (0.000, 0.000, 0.000)

Output
V: 164.2 Å³ per cell
Calculated formation energy: 0.27 eV per atom
E: -6.6206 eV/atom
Magnetic moment: 0.0 μB/cell
Mass density: 13.0 g/cm³
Symmetry: P4/mbm (127)

---

Record 6
The following is a DFT calculation (GGA-PBE) of a relaxed In3GeOs crystal.

Cell lengths 5.184, 5.184, 5.184 Å; angles 90.00, 90.00, 90.00 degrees
Last column: magnetic moment on the atom in μB.
Positions (direct):
Ge (0.500, 0.500, 0.500)  0.39
In (0.500, 0.000, 0.000)  0.00
Os (0.000, 0.000, 0.000)  0.41
In (0.000, 0.500, 0.000)  -0.03
In (0.000, 0.000, 0.500)  -0.03

Output
V: 139.3 Å³ per cell
Calculated formation energy: 0.56 eV per atom
Energy above the lowest structure with this stoichiometry: 0.0 meV per atom
E: -4.2486 eV/atom
Magnetic moment: 1.3 μB/cell
Mass density: 7.2 g/cm³
Symmetry: Pm-3m (221)

---

Record 7
The following is a DFT calculation (GGA-PBE) of a relaxed InGe2Os crystal.

Cell lengths 6.066, 6.066, 7.113 Å; angles 64.76, 64.76, 90.00 degrees
Positions (direct):
Ge (0.375, 0.313, 0.750)
Ge (0.063, 0.625, 0.250)
Os (0.000, 0.000, 0.000)
Ge (0.875, 0.937, 0.750)
Os (0.750, 0.250, 0.500)
In (0.250, 0.750, 0.500)
Ge (0.687, 0.125, 0.250)
In (0.500, 0.500, 0.000)

Output
V: 208.8 Å³ per cell
Calculated formation energy: 0.52 eV per atom
E: -5.2779 eV/atom
Magnetic moment: 0.0 μB/cell
Mass density: 7.2 g/cm³
Symmetry: I-42d (122)

---

Record 8
The following is a DFT calculation (GGA-PBE) of a relaxed InGeOs crystal.

Cell lengths 5.891, 5.885, 7.089 Å; angles 90.00, 114.67, 90.00 degrees
Positions (direct):
In (0.170, 0.502, 0.842)
In (0.830, 0.498, 0.158)
In (0.670, 0.998, 0.842)
Ge (0.615, 0.499, 0.731)
In (0.330, 0.002, 0.158)
Ge (0.885, 0.999, 0.269)
Ge (0.115, 0.001, 0.731)
Os (0.694, 0.806, 0.500)
Ge (0.385, 0.501, 0.269)
Os (0.194, 0.694, 0.500)
Os (0.306, 0.194, 0.500)
Os (0.806, 0.306, 0.500)

Output
V: 223.3 Å³ per cell
Calculated formation energy: 0.25 eV per atom
E: -5.9442 eV/atom
Magnetic moment: 0.0 μB/cell
Mass density: 11.2 g/cm³
Symmetry: P2_1/c (14)

---

Record 9
The following is a DFT calculation (GGA-PBE) of a relaxed InGeOs3 crystal.

Cell lengths 4.885, 4.885, 4.885 Å; angles 90.00, 90.00, 90.00 degrees
Last column: magnetic moment on the atom in μB.
Positions (direct):
Os (0.000, 0.500, 0.000)  1.58
Os (0.500, 0.000, 0.000)  1.23
Ge (0.500, 0.500, 0.500)  -0.05
In (0.000, 0.000, 0.000)  -0.02
Os (0.000, 0.000, 0.500)  1.74

Output
V: 116.6 Å³ per cell
Calculated formation energy: 2.88 eV per atom
Energy above the lowest structure with this stoichiometry: 1405.5 meV per atom
E: -5.3250 eV/atom
Magnetic moment: 4.8 μB/cell
Mass density: 10.8 g/cm³
Symmetry: Pm-3m (221)

---

Record 10
The following is a DFT calculation (GGA-PBE) of a relaxed InGe2Os crystal.

Cell lengths 3.084, 3.084, 9.578 Å; angles 80.73, 80.73, 60.00 degrees
Positions (direct):
Ge (0.899, 0.899, 0.304)
Ge (0.101, 0.101, 0.696)
Os (0.500, 0.500, 0.500)
In (0.000, 0.000, 0.000)

Output
V: 77.5 Å³ per cell
Calculated formation energy: 0.15 eV per atom
E: -5.6479 eV/atom
Magnetic moment: 0.0 μB/cell
Mass density: 9.6 g/cm³
Symmetry: R-3m (166)

---

Record 11
The following is a DFT calculation (GGA-PBE) of a relaxed InGeOs3 crystal.

Cell lengths 4.549, 4.549, 4.549 Å; angles 90.00, 90.00, 90.00 degrees
Last column: magnetic moment on the atom in μB.
Positions (direct):
Ge (0.000, 0.000, 0.000)  -0.01
Os (0.000, 0.000, 0.500)  0.21
Os (0.500, 0.000, 0.000)  0.24
In (0.500, 0.500, 0.500)  -0.02
Os (0.000, 0.500, 0.000)  0.23

Output
V: 94.1 Å³ per cell
Calculated formation energy: 1.48 eV per atom
Energy above the lowest structure with this stoichiometry: 0.0 meV per atom
E: -6.7305 eV/atom
Magnetic moment: 0.7 μB/cell
Mass density: 13.4 g/cm³
Symmetry: Pm-3m (221)

---

Record 12
The following is a DFT calculation (GGA-PBE) of a relaxed InGeOs2 crystal.

Cell lengths 4.466, 4.466, 4.466 Å; angles 60.00, 60.00, 60.00 degrees
Positions (direct):
Ge (0.000, 0.000, 0.000)
Os (0.250, 0.250, 0.250)
In (0.500, 0.500, 0.500)
Os (0.750, 0.750, 0.750)

Output
V: 63.0 Å³ per cell
Calculated formation energy: 0.47 eV per atom
Energy above the lowest structure with this stoichiometry: 0.0 meV per atom
E: -6.9793 eV/atom
Magnetic moment: 0.0 μB/cell
Mass density: 15.0 g/cm³
Symmetry: Fm-3m (225)